[1]
Ta2TeBr: relaxed, PBE-GGA.

Cell and atoms, written as POSCAR:
```
Ta2TeBr
1.0
3.4813 -0.0001 0.0009
-0.0002 7.2684 -0.0028
-0.1283 -1.2776 8.5605
Te Br Ta
2 2 4
Direct
0.1852 0.3880 0.6426 Te
0.1936 0.9890 0.8727 Te
0.2110 0.8578 0.3418 Br
0.7052 0.3388 0.1996 Br
0.7023 0.9053 0.1115 Ta
0.6939 0.3084 0.8825 Ta
0.2007 0.5904 0.0698 Ta
0.6921 0.6616 0.8345 Ta
```

The calculation puts the uncorrected formation energy at -0.124 eV/atom. The space group is P1. The energy relative to the lowest polymorph listed for this composition is 48 kJ/mol of formula units. The calculation puts the density of states at the Fermi level at 2.15 states/eV/f.u. The volume comes out at 27.1 Å³ per atom.

=====

[2]
TaTe2Br: relaxed, PBE-GGA.

Cell and atoms, written as POSCAR:
```
TaTe2Br
1.0
10.9599 -0.0004 -0.0003
10.4288 3.3706 -0.0003
10.4288 1.6433 2.9429
Te Br Ta
2 1 1
Direct
0.0244 0.0244 0.0244 Te
0.2483 0.2483 0.2483 Te
0.4753 0.4753 0.4753 Br
0.7520 0.7520 0.7520 Ta
```

The calculation puts the uncorrected formation energy at -0.139 eV/atom. The space group is R3m. The energy relative to the lowest polymorph listed for this composition is 87 kJ/mol of formula units. The calculation puts the density of states at the Fermi level at 2.53 states/eV/f.u. The volume comes out at 27.2 Å³ per atom.

=====

[3]
Ta2TeBr: relaxed, PBE-GGA.

Cell and atoms, written as POSCAR:
```
Ta2TeBr
1.0
5.1876 0.0084 0.0000
1.3748 5.0021 0.0000
-3.2812 -2.5052 3.1415
Te Br Ta
1 1 2
Direct
0.5000 0.5000 0.0000 Te
0.7500 0.2500 0.5000 Br
0.0000 0.0000 0.0000 Ta
0.2500 0.7500 0.5000 Ta
```

The calculation puts the uncorrected formation energy at 0.738 eV/atom. The space group is I-4m2. The energy relative to the lowest polymorph listed for this composition is 381 kJ/mol of formula units. The calculation puts the density of states at the Fermi level at 3.54 states/eV/f.u. The volume comes out at 20.4 Å³ per atom.

=====

[4]
TaTe2Br: relaxed, PBE-GGA.

Cell and atoms, written as POSCAR:
```
TaTe2Br
1.0
-2.0120 -0.6494 -2.4848
-0.6855 -2.9062 1.3146
-8.0208 4.3189 5.3657
Te Br Ta
2 1 1
Direct
0.0000 0.0000 0.9128 Te
0.5000 0.5000 0.2415 Te
0.0000 0.0000 0.5925 Br
0.5000 0.5000 0.7533 Ta
```

The calculation puts the uncorrected formation energy at -0.078 eV/atom. The space group is P4mm. The energy relative to the lowest polymorph listed for this composition is 111 kJ/mol of formula units. The calculation puts the density of states at the Fermi level at 2.00 states/eV/f.u. The volume comes out at 28.1 Å³ per atom.

=====

[5]
Ta2TeBr: relaxed, PBE-GGA.

Cell and atoms, written as POSCAR:
```
Ta2TeBr
1.0
3.4016 0.0000 0.0000
0.0000 3.4016 0.0000
0.0000 0.0000 8.3126
Te Br Ta
1 1 2
Direct
0.0000 0.0000 0.4194 Te
0.5000 0.5000 0.8078 Br
0.0000 0.0000 0.0455 Ta
0.5000 0.5000 0.2273 Ta
```

The calculation puts the uncorrected formation energy at 0.029 eV/atom. The space group is P4mm. The energy relative to the lowest polymorph listed for this composition is 107 kJ/mol of formula units. The calculation puts the density of states at the Fermi level at 3.12 states/eV/f.u. The volume comes out at 24.0 Å³ per atom.

=====

[6]
TaTe2Br: relaxed, PBE-GGA.

Cell and atoms, written as POSCAR:
```
TaTe2Br
1.0
-2.2910 2.3957 -0.0414
-1.1835 -1.1821 -2.8621
-6.2892 -5.9270 5.0486
Te Br Ta
2 1 1
Direct
0.0000 0.0000 0.9281 Te
0.0000 0.0000 0.5719 Te
0.5000 0.5000 0.2500 Br
0.5000 0.5000 0.7500 Ta
```

The calculation puts the uncorrected formation energy at -0.046 eV/atom. The space group is P4/mmm. The energy relative to the lowest polymorph listed for this composition is 123 kJ/mol of formula units. The calculation puts the density of states at the Fermi level at 4.35 states/eV/f.u. The volume comes out at 27.5 Å³ per atom.

=====

[7]
Ta2TeBr: relaxed, PBE-GGA.

Cell and atoms, written as POSCAR:
```
Ta2TeBr
1.0
-2.1247 0.7813 -2.4878
-4.6650 -3.6734 2.9687
-1.0537 8.6369 4.1004
Te Br Ta
2 2 4
Direct
0.0675 0.2342 0.2282 Te
0.0588 0.7171 0.1920 Te
0.5294 0.8468 0.8137 Br
0.0596 0.3132 0.7956 Br
0.5842 0.0103 0.3911 Ta
0.9848 0.8695 0.6046 Ta
0.0874 0.3248 0.5390 Ta
0.5944 0.5604 0.3964 Ta
```

The calculation puts the uncorrected formation energy at -0.174 eV/atom. The space group is P1. The energy relative to the lowest polymorph listed for this composition is 29 kJ/mol of formula units. The calculation puts the density of states at the Fermi level at 1.23 states/eV/f.u. The volume comes out at 26.1 Å³ per atom.

=====

[8]
Ta2TeBr: relaxed, PBE-GGA.

Cell and atoms, written as POSCAR:
```
Ta2TeBr
1.0
-2.8487 1.1040 3.6951
2.8464 -2.7094 4.0699
4.3904 6.1771 4.4550
Te Br Ta
2 2 4
Direct
0.3546 0.3357 0.1668 Te
0.7133 0.7832 0.3083 Te
0.9225 0.6052 0.7273 Br
0.2985 0.9912 0.8253 Br
0.7923 0.2431 0.3537 Ta
0.2510 0.0116 0.5230 Ta
0.5834 0.3556 0.6206 Ta
0.2078 0.5508 0.4357 Ta
```

The calculation puts the uncorrected formation energy at -0.047 eV/atom. The space group is P1. The energy relative to the lowest polymorph listed for this composition is 78 kJ/mol of formula units. The calculation puts the density of states at the Fermi level at 2.36 states/eV/f.u. The volume comes out at 27.6 Å³ per atom.

=====

[9]
Ta2Te4Br: relaxed, PBE-GGA.

Cell and atoms, written as POSCAR:
```
Ta2Te4Br
1.0
7.6739 0.2821 -0.1700
-0.2613 7.4485 0.5139
-3.5560 -3.6502 6.8856
Ta Te Br
4 8 2
Direct
0.5420 0.4150 0.6990 Ta
0.6717 0.8080 0.3434 Ta
0.6385 0.3762 0.2769 Ta
0.1570 0.4151 0.6991 Ta
0.9013 0.1102 0.3225 Te
0.3112 0.5483 0.1321 Te
0.8205 0.6559 0.6414 Te
0.8446 0.1805 0.6891 Te
0.4212 0.1103 0.3225 Te
0.4130 0.1812 0.8260 Te
0.4652 0.7551 0.9305 Te
0.8208 0.5481 0.1319 Te
0.2437 0.5387 0.4876 Br
0.9994 0.1075 0.9981 Br
```

The calculation puts the uncorrected formation energy at -0.170 eV/atom. The space group is Cm. The calculation puts the density of states at the Fermi level at 1.38 states/eV/f.u. The volume comes out at 28.8 Å³ per atom.

=====

[10]
Ta2TiTeBr: relaxed, PBE-GGA.

Cell and atoms, written as POSCAR:
```
Ta2TiTeBr
1.0
-1.1999 -4.9146 0.2436
0.0869 -0.2965 -5.5546
4.9200 -1.1942 0.1407
Te Ti Br Ta
1 1 1 2
Direct
0.0000 0.0000 0.0000 Te
0.5000 0.5000 0.5000 Ti
0.0000 0.5000 0.0000 Br
0.0000 0.0000 0.5000 Ta
0.5000 0.0000 0.0000 Ta
```

The calculation puts the uncorrected formation energy at 1.887 eV/atom. The space group is P4/mmm. The calculation puts the density of states at the Fermi level at 11.06 states/eV/f.u. The volume comes out at 28.5 Å³ per atom.

=====

[11]
Ta2TiBr: relaxed, PBE-GGA.

Cell and atoms, written as POSCAR:
```
Ta2TiBr
1.0
-1.0881 3.7393 0.4614
-2.6067 -0.4003 -2.9024
-8.8349 -1.1867 5.4490
Ti Br Ta
2 2 4
Direct
0.5000 0.5000 0.0000 Ti
0.2500 0.7500 0.5000 Ti
0.0000 0.0000 0.0000 Br
0.7500 0.2500 0.5000 Br
0.6188 0.1250 0.2500 Ta
0.1312 0.6250 0.2500 Ta
0.3750 0.3812 0.7500 Ta
0.8750 0.8688 0.7500 Ta
```

The calculation puts the uncorrected formation energy at 0.677 eV/atom. The space group is I-42d. The energy relative to the lowest polymorph listed for this composition is 0 kJ/mol of formula units. The calculation puts the density of states at the Fermi level at 3.07 states/eV/f.u. The volume comes out at 19.4 Å³ per atom.

=====

[12]
TaTi3Br: relaxed, PBE-GGA.

Cell and atoms, written as POSCAR:
```
TaTi3Br
1.0
-1.4251 -0.0883 -4.3742
-3.4433 -2.8155 1.1786
-2.6991 3.6383 0.8059
Ti Br Ta
3 1 1
Direct
0.0000 0.5000 0.0000 Ti
0.0000 0.0000 0.5000 Ti
0.5000 0.0000 0.0000 Ti
0.0000 0.0000 0.0000 Br
0.5000 0.5000 0.5000 Ta
```

The calculation puts the uncorrected formation energy at 0.611 eV/atom. The space group is Pm-3m. The energy relative to the lowest polymorph listed for this composition is 0 kJ/mol of formula units. The calculation puts the density of states at the Fermi level at 5.59 states/eV/f.u. The volume comes out at 19.5 Å³ per atom.

=====

[13]
TaTi3Br: relaxed, PBE-GGA.

Cell and atoms, written as POSCAR:
```
TaTi3Br
1.0
4.9432 0.0000 0.0000
0.0000 4.9432 0.0000
0.0000 0.0000 4.9432
Ti Br Ta
3 1 1
Direct
0.0000 0.5000 0.0000 Ti
0.0000 0.0000 0.5000 Ti
0.5000 0.0000 0.0000 Ti
0.5000 0.5000 0.5000 Br
0.0000 0.0000 0.0000 Ta
```

The calculation puts the uncorrected formation energy at 1.081 eV/atom. The space group is Pm-3m. The energy relative to the lowest polymorph listed for this composition is 227 kJ/mol of formula units. The calculation puts the density of states at the Fermi level at 6.20 states/eV/f.u. The volume comes out at 24.2 Å³ per atom.

=====

no.,ρ (g/cm3)
1,8.73
2,7.88
3,11.60
4,7.61
5,9.83
6,7.79
7,9.05
8,8.57
9,7.84
10,7.18
11,10.50
12,6.89
13,5.56